A plane-wave DFT calculation with GGA-PBE was carried out for a geometry-optimized Sc2TcOs structure.

Results
The total energy comes out at -8.614 eV/atom. The value obtained for the formation energy is -0.049 eV per atom. Its crystal system is tetragonal. The volume comes out at 17.15 A^3/atom.

Unit cell a=3.8113 b=3.8113 c=9.4433 alpha=90.00 beta=90.00 gamma=90.00
Space group I-4m2 (No. 119)
Asymmetric unit:
Sc 0.0000 0.0000 0.0000
Sc 0.0000 0.5000 0.2500
Tc 0.0000 0.5000 0.7500
Os 0.0000 0.0000 0.5000

***

A plane-wave DFT calculation with GGA-PBE was carried out for a geometry-optimized NdCuPO structure.

Results
The total energy comes out at -6.504 eV/atom. The uncorrected formation energy is -1.696 eV/atom. Its crystal system is tetragonal. The volume comes out at 16.55 A^3/atom.

Unit cell a=4.0097 b=4.0097 c=8.2367 alpha=90.00 beta=90.00 gamma=90.00
Space group P4/nmm (No. 129, origin choice 2)
Asymmetric unit:
Nd 0.2500 0.2500 0.1462
Cu 0.2500 0.7500 0.5000
P 0.2500 0.2500 0.6489
O 0.2500 0.7500 0.0000

***

A plane-wave DFT calculation with GGA-PBE was carried out for a geometry-optimized CaIr4Pt structure.

Results
The total energy comes out at -7.151 eV/atom. The value obtained for the formation energy is 0.097 eV per atom. Its crystal system is cubic. The volume comes out at 17.09 A^3/atom.

Unit cell a=7.4306 b=7.4306 c=7.4306 alpha=90.00 beta=90.00 gamma=90.00
Space group F-43m (No. 216)
Asymmetric unit:
Ca 0.0000 0.0000 0.0000
Ir 0.1247 0.1247 0.6247
Pt 0.2500 0.2500 0.2500

***

A plane-wave DFT calculation with GGA-PBE was carried out for a geometry-optimized Ca3SmIn4 structure.

Results
The total energy comes out at -3.182 eV/atom. The value obtained for the formation energy is -0.473 eV per atom. Its crystal system is tetragonal. The volume comes out at 28.44 A^3/atom.

Unit cell a=3.8213 b=3.8213 c=15.5785 alpha=90.00 beta=90.00 gamma=90.00
Space group P4/mmm (No. 123)
Asymmetric unit:
Ca 0.0000 0.0000 0.0000
Ca 0.0000 0.0000 0.2488
Sm 0.0000 0.0000 0.5000
In 0.5000 0.5000 0.1260
In 0.5000 0.5000 0.3744

***

A plane-wave DFT calculation with GGA-PBE was carried out for a geometry-optimized K3Tl structure.

Results
The total energy comes out at -1.394 eV/atom. The value obtained for the formation energy is 0.021 eV per atom. Its crystal system is orthorhombic. The volume comes out at 51.64 A^3/atom.

Unit cell a=11.9658 b=11.4366 c=6.0382 alpha=90.00 beta=90.00 gamma=90.00
Space group Cmcm (No. 63)
Asymmetric unit:
K 0.0000 0.2282 0.2500
K 0.2192 0.1127 0.7500
Tl 0.0000 0.4300 0.7500

***

A plane-wave DFT calculation with GGA-PBE was carried out for a geometry-optimized CaTe2Se structure.

Results
The total energy comes out at -3.654 eV/atom. The uncorrected formation energy is -0.711 eV/atom. Its crystal system is tetragonal. The volume comes out at 31.66 A^3/atom.

Unit cell a=4.2131 b=4.2131 c=7.1349 alpha=90.00 beta=90.00 gamma=90.00
Space group P4/mmm (No. 123)
Asymmetric unit:
Ca 0.0000 0.0000 0.0000
Te 0.0000 0.5000 0.5000
Se 0.5000 0.5000 0.0000

***

> What is the volume in the fifth record?

51.64 A^3/atom